Record 1
Compound: SrAlCl
Source: the Alexandria database
Functional: GGA-PBE
Structure: relaxed

Values from the calculation:
Calculated density = 2.262 g/cm³
Symmetry = No. 107
N(E_F) = 2.14 states/eV per cell

a b c (Å): 8.577 8.577 3.671
angles (deg): 77.64 77.64 24.71
Sites, in units of the cell vectors:
1 Sr 0.682 0.682 0.318
2 Al 0.045 0.045 0.955
3 Cl 0.273 0.273 0.727


Record 2
Compound: SrAl2Cl
Source: the Alexandria database
Functional: GGA-PBE
Structure: relaxed

Values from the calculation:
Calculated density = 2.500 g/cm³
Symmetry = No. 47
N(E_F) = 2.85 states/eV per cell

a b c (Å): 3.697 5.873 5.416
angles (deg): 90.00 90.00 90.00
Sites, in units of the cell vectors:
1 Cl 0.500 0.500 0.250
2 Al 0.000 0.000 0.988
3 Al 0.000 0.000 0.512
4 Sr 0.500 0.500 0.750


Record 3
Compound: Sr2AlCl
Source: the Alexandria database
Functional: GGA-PBE
Structure: relaxed

Values from the calculation:
Calculated density = 3.018 g/cm³
Symmetry = No. 225
N(E_F) = 1.42 states/eV per cell

a b c (Å): 5.697 5.697 5.697
angles (deg): 60.00 60.00 60.00
Last column: magnetic moment on the atom in μB.
Sites, in units of the cell vectors:
1 Sr 0.250 0.250 0.250  0.11
2 Sr 0.750 0.750 0.750  0.11
3 Al 0.000 0.000 0.000  0.19
4 Cl 0.500 0.500 0.500  0.07


no.,energy above the lowest structure with this stoichiometry (kJ/mol of formula units),uncorrected energy (eV for the cell shown)
1,0,-9.31
2,126,-12.25
3,122,-11.40